Run A
Density functional theory data (PBE+U) for a geometry-optimized MnCrPO2 structure.

Lattice parameters (Å, degrees): 3.6931 3.6931 5.1506 90.00 90.00 90.00
Last column: nearest neighbours and their distance in Å.
Atoms (fractional coordinates):
Mn 0.0000 0.0000 0.0000  4 O 1.85
Cr 0.5000 0.5000 0.5000  4 P 2.61
P 0.0000 0.0000 0.5000  2 Mn 2.58, 4 Cr 2.61
O 0.0000 0.5000 0.0000  2 Mn 1.85
O 0.5000 0.0000 0.0000  2 Mn 1.85

The calculation puts the density of states at the Fermi level at 3.5 states/eV/cell. The value obtained for the magnetization is 6.04 μB per formula unit. As for the space group: P4/mmm.



Run B
Density functional theory data (PBE+U) for a geometry-optimized MnCrPO2 structure.

Lattice parameters (Å, degrees): 3.6795 3.6795 5.2225 90.00 90.00 90.00
Last column: nearest neighbours and their distance in Å.
Atoms (fractional coordinates):
Mn 0.0000 0.0000 0.0000  4 P 2.60
Cr 0.5000 0.5000 0.5000  4 O 1.84
P 0.5000 0.5000 0.0000  4 Mn 2.60, 2 Cr 2.61
O 0.0000 0.5000 0.5000  2 Cr 1.84
O 0.5000 0.0000 0.5000  2 Cr 1.84

The calculation puts the density of states at the Fermi level at 1.5 states/eV/cell. The value obtained for the magnetization is 6.00 μB per formula unit. As for the space group: P4/mmm.



Going by the computed energies, the most stable comes first: run B, run A.